CrRhAu2: optimized geometry, GGA-PBE.

abc: 4.658 4.658 3.147
angles: 90.00 90.00 106.18
Element x y z (fractional)
Cr1 0.000 0.000 0.000
Rh1 0.500 0.500 0.000
Au1 0.000 0.500 0.500
Au2 0.500 0.000 0.500

Results
volume	65.6	Å³/f.u.
theoretical density	13.9	g/cm3
ΔH_f (0 K)	160	meV/atom
magnetic moment	1.007	μB/atom